No. 1
The following is a PBE-GGA calculation of a relaxed structure of Hf2MgIn, from the Alexandria database.

Output
Formation enthalpy at 0 K = 257 meV/atom
Final energy = -5.80 eV/atom
Calculated density = 8.86 Mg/m³
Total magnetic moment = 0.00 μB per formula unit

Lattice parameters (Å, degrees): 3.084 3.084 33.865 90.00 90.00 120.00
Fractional positions:
Hf  0.000  0.000  0.089
Hf  0.000  0.000  0.911
Hf  0.333  0.667  0.578
Hf  0.333  0.667  0.756
Hf  0.667  0.333  0.244
Hf  0.667  0.333  0.422
Mg  0.000  0.000  0.000
Mg  0.333  0.667  0.667
Mg  0.667  0.333  0.333
In  0.000  0.000  0.500
In  0.333  0.667  0.167
In  0.667  0.333  0.833

No. 2
The following is a PBE-GGA calculation of a relaxed structure of PaNi2Mo, from the Alexandria database.

Output
Formation enthalpy at 0 K = 610 meV/atom
Final energy = -7.36 eV/atom
Calculated density = 11.06 Mg/m³
Energy relative to the lowest polymorph listed for this composition = 769.6 meV per atom
Total magnetic moment = 0.00 μB per formula unit

Lattice parameters (Å, degrees): 2.823 2.823 29.008 90.00 90.00 120.00
Fractional positions:
Pa  0.000  0.000  0.000
Pa  0.333  0.667  0.667
Pa  0.667  0.333  0.333
Ni  0.000  0.000  0.419
Ni  0.000  0.000  0.581
Ni  0.333  0.667  0.086
Ni  0.333  0.667  0.247
Ni  0.667  0.333  0.753
Ni  0.667  0.333  0.914
Mo  0.000  0.000  0.500
Mo  0.333  0.667  0.167
Mo  0.667  0.333  0.833

No. 3
The following is a PBE-GGA calculation of a relaxed structure of Pm4Pb2Au, from the Alexandria database.

Output
Formation enthalpy at 0 K = -526 meV/atom
Final energy = -4.77 eV/atom
Calculated density = 9.09 Mg/m³
Energy relative to the lowest polymorph listed for this composition = 0.0 meV per atom
Total magnetic moment = 0.00 μB per formula unit

Lattice parameters (Å, degrees): 11.809 4.739 9.046 90.00 120.66 90.00
Fractional positions:
Pm  0.077  0.000  0.366
Pm  0.177  0.500  0.068
Pm  0.323  0.000  0.932
Pm  0.423  0.500  0.634
Pm  0.577  0.500  0.366
Pm  0.677  0.000  0.068
Pm  0.823  0.500  0.932
Pm  0.923  0.000  0.634
Pb  0.148  0.500  0.659
Pb  0.352  0.000  0.341
Pb  0.648  0.000  0.659
Pb  0.852  0.500  0.341
Au  0.000  0.000  0.000
Au  0.500  0.500  0.000

No. 4
The following is a PBE-GGA calculation of a relaxed structure of NdSc5Sb6, from the Alexandria database.

Output
Formation energy (no corrections) = -0.960 eV/atom
Final energy = -6.06 eV/atom
Calculated density = 5.69 Mg/m³
Total magnetic moment = 0.00 μB per formula unit

Lattice parameters (Å, degrees): 7.328 7.328 7.332 99.66 99.66 120.10
Fractional positions:
Nd  0.000  0.000  0.000
Sc  0.160  0.840  0.500
Sc  0.331  0.669  0.000
Sc  0.500  0.500  0.500
Sc  0.669  0.331  0.000
Sc  0.840  0.160  0.500
Sb  0.087  0.435  0.261
Sb  0.264  0.264  0.746
Sb  0.435  0.087  0.261
Sb  0.565  0.913  0.739
Sb  0.736  0.736  0.254
Sb  0.913  0.565  0.739